No. 1
This record from Alexandria describes a geometry-optimized Nd2Ga3Ni4Ir structure. The functional is PBE.

Cell and atoms, written as POSCAR:
```
Nd2Ga3Ni4Ir
1.0
4.058 0.000 0.000
0.000 4.058 0.000
0.000 0.000 10.311
Nd Ga Ni Ir
2 3 4 1
Cartesian
0.000 2.029 2.546
2.029 0.000 7.765
0.000 0.000 0.000
0.000 2.029 6.442
2.029 0.000 3.870
0.000 0.000 5.156
0.000 2.029 8.861
2.029 0.000 1.450
2.029 2.029 5.156
2.029 2.029 0.000
```

## Properties
D(E_F)	10.3	states/eV/f.u.
DFT formation energy	-47.1	kJ per mole of atoms
calculated volume	170	Å³/cell

No. 2
This record from Alexandria describes a geometry-optimized Nd2GaNi5Ir2 structure. The functional is PBE.

Cell and atoms, written as POSCAR:
```
Nd2GaNi5Ir2
1.0
9.473 0.000 0.000
0.000 9.473 0.000
0.000 0.000 3.648
Nd Ga Ni Ir
4 2 10 4
Cartesian
1.620 3.116 0.000
3.116 7.853 0.000
6.357 1.620 0.000
7.853 6.357 0.000
0.000 0.000 0.000
4.736 4.736 0.000
0.000 4.736 1.824
0.555 7.693 1.824
1.780 0.555 1.824
2.957 5.291 1.824
4.182 2.957 1.824
4.736 0.000 1.824
5.291 6.516 1.824
6.516 4.182 1.824
7.693 8.918 1.824
8.918 1.780 1.824
1.222 5.959 0.000
3.514 1.222 0.000
5.959 8.251 0.000
8.251 3.514 0.000
```

## Properties
D(E_F)	8.9	states/eV/f.u.
DFT formation energy	-17.4	kJ per mole of atoms
calculated volume	327	Å³/cell

No. 3
This record from Alexandria describes a geometry-optimized NdGa4Ni2Ir structure. The functional is PBE.

Cell and atoms, written as POSCAR:
```
NdGa4Ni2Ir
1.0
2.072 1.196 9.000
-2.072 1.196 9.000
0.000 -2.392 9.000
Nd Ga Ni Ir
1 4 2 1
Cartesian
0.000 0.000 0.000
0.000 0.000 3.485
0.000 0.000 10.883
0.000 0.000 16.118
0.000 0.000 23.516
0.000 0.000 6.175
0.000 0.000 20.827
0.000 0.000 13.501
```

## Properties
D(E_F)	4.5	states/eV/f.u.
DFT formation energy	-46.0	kJ per mole of atoms
calculated volume	134	Å³/cell

No. 4
This record from Alexandria describes a geometry-optimized NdGa2Ni4Ir structure. The functional is PBE.

Cell and atoms, written as POSCAR:
```
NdGa2Ni4Ir
1.0
2.053 1.185 8.340
-2.053 1.185 8.340
0.000 -2.371 8.340
Nd Ga Ni Ir
1 2 4 1
Cartesian
0.000 0.000 0.000
0.000 0.000 5.714
0.000 0.000 19.306
0.000 0.000 2.972
0.000 0.000 10.066
0.000 0.000 14.954
0.000 0.000 22.048
0.000 0.000 12.510
```

## Properties
D(E_F)	5.1	states/eV/f.u.
DFT formation energy	-27.7	kJ per mole of atoms
calculated volume	122	Å³/cell

No. 5
This record from Alexandria describes a geometry-optimized NdNpGa5Ir2 structure. The functional is PBE.

Cell and atoms, written as POSCAR:
```
NdNpGa5Ir2
1.0
4.857 0.000 0.000
0.000 4.857 0.000
0.000 0.000 7.758
Nd Np Ga Ir
1 1 5 2
Cartesian
0.000 0.000 0.000
0.000 0.000 3.879
0.000 2.428 2.139
0.000 2.428 5.619
2.428 0.000 2.139
2.428 0.000 5.619
2.428 2.428 0.000
2.428 2.428 2.436
2.428 2.428 5.323
```

## Properties
D(E_F)	9.7	states/eV/f.u.
DFT formation energy	-19.8	kJ per mole of atoms
calculated volume	183	Å³/cell

No. 6
This record from Alexandria describes a geometry-optimized NdGa2IrO8 structure. The functional is PBE.

Cell and atoms, written as POSCAR:
```
NdGa2IrO8
1.0
4.703 0.000 0.000
0.000 6.560 0.000
-0.100 0.000 4.730
Nd Ga Ir O
1 2 1 8
Cartesian
0.000 0.000 0.000
2.301 1.680 2.365
2.301 4.879 2.365
0.000 3.280 0.000
0.979 1.903 0.957
0.979 4.656 0.957
1.269 3.280 3.342
1.473 0.000 3.130
3.130 0.000 1.600
3.334 3.280 1.388
3.623 1.903 3.773
3.623 4.656 3.773
```

## Properties
raw formation energy	-1.4927	eV/atom
D(E_F)	6.2	states/eV/f.u.
calculated volume	146	Å³/cell

No. 7
This record from Alexandria describes a geometry-optimized Nd2GaP3Ir4 structure. The functional is PBE.

Cell and atoms, written as POSCAR:
```
Nd2GaP3Ir4
1.0
4.142 0.000 0.000
0.000 4.142 0.000
0.000 0.000 10.006
Nd Ga P Ir
2 1 3 4
Cartesian
0.000 2.071 2.476
2.071 0.000 7.530
2.071 2.071 0.000
0.000 0.000 0.000
0.000 2.071 6.361
2.071 0.000 3.645
0.000 0.000 5.003
0.000 2.071 8.679
2.071 0.000 1.327
2.071 2.071 5.003
```

## Properties
D(E_F)	5.1	states/eV/f.u.
DFT formation energy	-87.7	kJ per mole of atoms
calculated volume	172	Å³/cell

No. 8
This record from Alexandria describes a geometry-optimized Nd2Ga4Ir3Pd structure. The functional is PBE.

Cell and atoms, written as POSCAR:
```
Nd2Ga4Ir3Pd
1.0
4.281 0.000 0.000
0.000 4.281 0.000
0.000 0.000 10.378
Nd Ga Ir Pd
2 4 3 1
Cartesian
0.000 2.141 2.576
2.141 0.000 7.801
0.000 0.000 5.189
0.000 2.141 9.046
2.141 0.000 1.331
2.141 2.141 5.189
0.000 0.000 0.000
0.000 2.141 6.565
2.141 0.000 3.813
2.141 2.141 0.000
```

## Properties
D(E_F)	5.0	states/eV/f.u.
DFT formation energy	-70.6	kJ per mole of atoms
calculated volume	190	Å³/cell

No. 9
This record from Alexandria describes a geometry-optimized NdGa2IrPd2 structure. The functional is PBE.

Cell and atoms, written as POSCAR:
```
NdGa2IrPd2
1.0
4.729 0.000 0.000
0.000 4.729 0.000
0.000 0.000 5.567
Nd Ga Ir Pd
1 2 1 2
Cartesian
0.000 0.000 0.000
0.000 2.364 2.783
2.364 0.000 2.783
0.000 0.000 2.783
2.364 2.364 1.365
2.364 2.364 4.202
```

## Properties
D(E_F)	2.0	states/eV/f.u.
DFT formation energy	-44.9	kJ per mole of atoms
calculated volume	124	Å³/cell

No. 10
This record from Alexandria describes a geometry-optimized NdGa3IrPd structure. The functional is PBE.

Cell and atoms, written as POSCAR:
```
NdGa3IrPd
1.0
3.985 -5.524 0.000
3.985 5.524 0.000
0.000 0.000 5.871
Nd Ga Ir Pd
2 6 2 2
Cartesian
3.985 2.802 4.403
3.985 -2.802 1.468
3.985 2.813 1.468
1.992 0.000 0.000
1.992 0.000 2.936
5.978 0.000 0.000
5.978 0.000 2.936
3.985 -2.813 4.403
3.985 5.184 1.468
3.985 -5.184 4.403
3.985 0.428 1.468
3.985 -0.428 4.403
```

## Properties
D(E_F)	3.1	states/eV/f.u.
DFT formation energy	-41.7	kJ per mole of atoms
calculated volume	258	Å³/cell

No. 11
This record from Alexandria describes a geometry-optimized PrNdGa2Ir2 structure. The functional is PBE.

Cell and atoms, written as POSCAR:
```
PrNdGa2Ir2
1.0
4.387 0.000 0.000
-2.194 3.799 0.000
0.000 0.000 7.806
Pr Nd Ga Ir
1 1 2 2
Cartesian
0.000 0.000 0.000
0.000 0.000 3.903
0.000 2.533 1.976
2.194 1.266 5.830
0.000 2.533 5.830
2.194 1.266 1.975
```

## Properties
D(E_F)	3.9	states/eV/f.u.
DFT formation energy	-69.6	kJ per mole of atoms
calculated volume	130	Å³/cell

No. 12
This record from Alexandria describes a geometry-optimized NdGa5Ir2Pt structure. The functional is PBE.

Cell and atoms, written as POSCAR:
```
NdGa5Ir2Pt
1.0
4.349 0.000 0.000
0.000 4.349 0.000
0.000 0.000 9.952
Nd Ga Ir Pt
1 5 2 1
Cartesian
0.000 0.000 0.000
0.000 2.175 3.454
0.000 2.175 6.498
2.175 0.000 3.454
2.175 0.000 6.498
2.175 2.175 0.000
2.175 2.175 2.311
2.175 2.175 7.641
0.000 0.000 4.976
```

## Properties
D(E_F)	4.9	states/eV/f.u.
DFT formation energy	-37.4	kJ per mole of atoms
calculated volume	188	Å³/cell

Q: Among the records above, which one has the highest calculated volume?
A: Nd2GaNi5Ir2